## K2ZnSb3Pt4 (GGA-PBE)

Data for a relaxed structure of K2ZnSb3Pt4.

- uncorrected formation energy (eV per formula unit) = -4.70
- D(E_F) (states/eV per atom) = 0.62

abc: 4.6956 4.6956 10.5235
angles: 90.00 90.00 90.00
Space group P-4m2 (No. 115)
Symmetry-distinct sites (fractional):
K1 0.0000 0.5000 0.2474 [2 per cell]
Zn1 0.5000 0.5000 0.0000 [1 per cell]
Sb1 0.0000 0.0000 0.0000 [1 per cell]
Sb2 0.0000 0.5000 0.6277 [2 per cell]
Pt1 0.0000 0.0000 0.5000 [1 per cell]
Pt2 0.0000 0.5000 0.8832 [2 per cell]
Pt3 0.5000 0.5000 0.5000 [1 per cell]